HfAlNiPd | PBE | optimized geometry

Unit cell a=4.1915 b=4.1915 c=8.2805 alpha=90.00 beta=90.00 gamma=120.00
Element x y z (fractional)
Hf 0.3333 0.6667 0.2332
Hf 0.6667 0.3333 0.7668
Al 0.0000 0.0000 0.0000
Al 0.0000 0.0000 0.5000
Ni 0.3333 0.6667 0.9207
Ni 0.6667 0.3333 0.0793
Pd 0.3333 0.6667 0.5939
Pd 0.6667 0.3333 0.4061

calculated total energy = -6.84 eV/atom